[1]
Computed, not measured: a relaxed structure of PaTlPt2O8 at the PBE level of DFT.

CIF file:
```
data_PaTlPt2O8
_cell_length_a 6.125
_cell_length_b 6.125
_cell_length_c 6.125
_cell_angle_alpha 109.33
_cell_angle_beta 109.33
_cell_angle_gamma 109.76
_symmetry_space_group_name_H-M 'P 1'
_symmetry_Int_Tables_number 1
loop_
_symmetry_equiv_pos_as_xyz
'x,y,z'
loop_
_atom_site_label
_atom_site_fract_x
_atom_site_fract_y
_atom_site_fract_z
Pa1 0.000 0.000 0.000
Tl1 0.750 0.250 0.500
Pt1 0.250 0.750 0.500
Pt2 0.500 0.500 0.000
O1 0.040 0.365 0.325
O2 0.040 0.715 0.675
O3 0.113 0.279 0.833
O4 0.285 0.960 0.325
O5 0.446 0.279 0.167
O6 0.635 0.960 0.675
O7 0.721 0.554 0.833
O8 0.721 0.887 0.167
```

Computed properties:
Magnetization: 0.0 μB/f.u.
Space group: I-4m2, No. 119
ΔE_f (raw): -1102 meV/atom
Density of states at the Fermi level: 0.01 states/eV/cell

***

[2]
Computed, not measured: a relaxed structure of Cs5TbTe4 at the PBE level of DFT.

CIF file:
```
data_Cs5TbTe4
_cell_length_a 11.741
_cell_length_b 11.741
_cell_length_c 9.678
_cell_angle_alpha 114.31
_cell_angle_beta 114.31
_cell_angle_gamma 25.24
_symmetry_space_group_name_H-M 'P 1'
_symmetry_Int_Tables_number 1
loop_
_symmetry_equiv_pos_as_xyz
'x,y,z'
loop_
_atom_site_label
_atom_site_fract_x
_atom_site_fract_y
_atom_site_fract_z
Cs1 0.000 0.000 0.000
Cs2 0.329 0.329 0.069
Cs3 0.329 0.329 0.591
Cs4 0.671 0.671 0.409
Cs5 0.671 0.671 0.931
Tb1 0.000 0.000 0.500
Te1 0.157 0.157 0.656
Te2 0.500 0.500 0.290
Te3 0.500 0.500 0.710
Te4 0.843 0.843 0.344
```

Computed properties:
Magnetization: 0.0 μB/f.u.
Space group: C2/m, No. 12
ΔE_f (raw): -1022 meV/atom

***

[3]
Computed, not measured: a relaxed structure of DyTiFe11C at the PBE level of DFT.

CIF file:
```
data_DyTiFe11C
_cell_length_a 6.493
_cell_length_b 6.493
_cell_length_c 6.493
_cell_angle_alpha 136.15
_cell_angle_beta 97.65
_cell_angle_gamma 98.38
_symmetry_space_group_name_H-M 'P 1'
_symmetry_Int_Tables_number 1
loop_
_symmetry_equiv_pos_as_xyz
'x,y,z'
loop_
_atom_site_label
_atom_site_fract_x
_atom_site_fract_y
_atom_site_fract_z
Dy1 0.000 0.000 0.000
Ti1 0.374 0.374 0.000
Fe1 0.005 0.006 0.498
Fe2 0.005 0.507 0.999
Fe3 0.230 0.510 0.720
Fe4 0.230 0.730 0.500
Fe5 0.366 0.008 0.358
Fe6 0.508 0.006 0.001
Fe7 0.508 0.507 0.502
Fe8 0.649 0.008 0.642
Fe9 0.651 0.651 0.000
Fe10 0.783 0.283 0.500
Fe11 0.790 0.510 0.280
C1 0.006 0.506 0.500
```

Computed properties:
Magnetization: 22.1 μB/f.u.
Space group: Imm2, No. 44
Total DFT energy (no corrections): -116.155 eV/cell
Density of states at the Fermi level: 10.61 states/eV/cell

***

[4]
Computed, not measured: a relaxed structure of AcAu3 at the PBE level of DFT.

CIF file:
```
data_AcAu3
_cell_length_a 6.925
_cell_length_b 6.925
_cell_length_c 4.756
_cell_angle_alpha 90.00
_cell_angle_beta 90.00
_cell_angle_gamma 120.00
_symmetry_space_group_name_H-M 'P 1'
_symmetry_Int_Tables_number 1
loop_
_symmetry_equiv_pos_as_xyz
'x,y,z'
loop_
_atom_site_label
_atom_site_fract_x
_atom_site_fract_y
_atom_site_fract_z
Ac1 0.333 0.667 0.250
Ac2 0.667 0.333 0.750
Au1 0.148 0.295 0.750
Au2 0.148 0.852 0.750
Au3 0.295 0.148 0.250
Au4 0.705 0.852 0.750
Au5 0.852 0.148 0.250
Au6 0.852 0.705 0.250
```

Computed properties:
Magnetization: 0.0 μB/f.u.
Space group: P6_3/mmc, No. 194
Total DFT energy (no corrections): -33.380 eV/cell
Density of states at the Fermi level: 2.32 states/eV/cell

***

[5]
Computed, not measured: a relaxed structure of Li2LaNdSe4 at the PBE level of DFT.

CIF file:
```
data_Li2LaNdSe4
_cell_length_a 6.958
_cell_length_b 4.259
_cell_length_c 7.374
_cell_angle_alpha 90.00
_cell_angle_beta 110.60
_cell_angle_gamma 90.00
_symmetry_space_group_name_H-M 'P 1'
_symmetry_Int_Tables_number 1
loop_
_symmetry_equiv_pos_as_xyz
'x,y,z'
loop_
_atom_site_label
_atom_site_fract_x
_atom_site_fract_y
_atom_site_fract_z
Li1 0.000 0.000 0.000
Li2 0.000 0.500 0.500
La1 0.500 0.000 0.500
Nd1 0.500 0.500 0.000
Se1 0.240 0.000 0.750
Se2 0.240 0.500 0.243
Se3 0.760 0.000 0.250
Se4 0.760 0.500 0.757
```

Computed properties:
Magnetization: 0.0 μB/f.u.
Space group: P2/m, No. 10
ΔE_f (raw): -1693 meV/atom
Density of states at the Fermi level: 0.00 states/eV/cell

***

[6]
Computed, not measured: a relaxed structure of Pr2Sn3PdPt4 at the PBE level of DFT.

CIF file:
```
data_Pr2Sn3PdPt4
_cell_length_a 4.262
_cell_length_b 4.262
_cell_length_c 12.054
_cell_angle_alpha 90.00
_cell_angle_beta 90.00
_cell_angle_gamma 90.00
_symmetry_space_group_name_H-M 'P 1'
_symmetry_Int_Tables_number 1
loop_
_symmetry_equiv_pos_as_xyz
'x,y,z'
loop_
_atom_site_label
_atom_site_fract_x
_atom_site_fract_y
_atom_site_fract_z
Pr1 0.000 0.500 0.231
Pr2 0.500 0.000 0.769
Sn1 0.000 0.000 0.000
Sn2 0.000 0.500 0.634
Sn3 0.500 0.000 0.366
Pd1 0.500 0.500 0.000
Pt1 0.000 0.000 0.500
Pt2 0.000 0.500 0.850
Pt3 0.500 0.000 0.150
Pt4 0.500 0.500 0.500
```

Computed properties:
Magnetization: 0.0 μB/f.u.
Space group: P-4m2, No. 115
Total DFT energy (no corrections): -58.867 eV/cell
Density of states at the Fermi level: 7.56 states/eV/cell

***

[7]
Computed, not measured: a relaxed structure of YTc2W at the PBE level of DFT.

CIF file:
```
data_YTc2W
_cell_length_a 2.911
_cell_length_b 4.539
_cell_length_c 5.390
_cell_angle_alpha 90.00
_cell_angle_beta 101.70
_cell_angle_gamma 90.00
_symmetry_space_group_name_H-M 'P 1'
_symmetry_Int_Tables_number 1
loop_
_symmetry_equiv_pos_as_xyz
'x,y,z'
loop_
_atom_site_label
_atom_site_fract_x
_atom_site_fract_y
_atom_site_fract_z
Y1 0.000 0.000 0.000
Tc1 0.492 0.000 0.499
Tc2 0.754 0.500 0.249
W1 0.270 0.500 0.713
```

Computed properties:
Magnetization: 0.0 μB/f.u.
Space group: Pm, No. 6
Total DFT energy (no corrections): -38.874 eV/cell
Density of states at the Fermi level: 2.57 states/eV/cell

***

[8]
Computed, not measured: a relaxed structure of GaAg2H2 at the PBE level of DFT.

CIF file:
```
data_GaAg2H2
_cell_length_a 5.627
_cell_length_b 5.627
_cell_length_c 4.096
_cell_angle_alpha 90.00
_cell_angle_beta 90.00
_cell_angle_gamma 90.00
_symmetry_space_group_name_H-M 'P 1'
_symmetry_Int_Tables_number 1
loop_
_symmetry_equiv_pos_as_xyz
'x,y,z'
loop_
_atom_site_label
_atom_site_fract_x
_atom_site_fract_y
_atom_site_fract_z
Ga1 0.000 0.000 0.000
Ga2 0.500 0.500 0.000
Ag1 0.187 0.313 0.500
Ag2 0.313 0.813 0.500
Ag3 0.687 0.187 0.500
Ag4 0.813 0.687 0.500
H1 0.193 0.307 0.000
H2 0.307 0.807 0.000
H3 0.693 0.193 0.000
H4 0.807 0.693 0.000
```

Computed properties:
Magnetization: 0.0 μB/f.u.
Space group: P4/mbm, No. 127
Density of states at the Fermi level: 2.18 states/eV/cell
Offset from the most stable computed form: 0.00 eV/f.u.

***

[9]
Computed, not measured: a relaxed structure of MnBeW at the PBE level of DFT.

CIF file:
```
data_MnBeW
_cell_length_a 11.603
_cell_length_b 11.603
_cell_length_c 11.603
_cell_angle_alpha 22.96
_cell_angle_beta 22.96
_cell_angle_gamma 22.96
_symmetry_space_group_name_H-M 'P 1'
_symmetry_Int_Tables_number 1
loop_
_symmetry_equiv_pos_as_xyz
'x,y,z'
loop_
_atom_site_label
_atom_site_fract_x
_atom_site_fract_y
_atom_site_fract_z
Mn1 0.227 0.722 0.722
Mn2 0.278 0.278 0.773
Mn3 0.278 0.773 0.278
Mn4 0.722 0.227 0.722
Mn5 0.722 0.722 0.227
Mn6 0.773 0.278 0.278
Be1 0.000 0.500 0.500
Be2 0.386 0.386 0.386
Be3 0.500 0.000 0.500
Be4 0.500 0.500 0.000
Be5 0.500 0.500 0.500
Be6 0.614 0.614 0.614
W1 0.041 0.041 0.041
W2 0.181 0.181 0.181
W3 0.267 0.267 0.267
W4 0.733 0.733 0.733
W5 0.819 0.819 0.819
W6 0.959 0.959 0.959
```

Computed properties:
Magnetization: 0.5 μB/f.u.
Space group: R-3m, No. 166
Total DFT energy (no corrections): -157.475 eV/cell
Density of states at the Fermi level: 15.53 states/eV/cell

***

[10]
Computed, not measured: a relaxed structure of Y2TmCd2 at the PBE level of DFT.

CIF file:
```
data_Y2TmCd2
_cell_length_a 4.969
_cell_length_b 6.766
_cell_length_c 8.318
_cell_angle_alpha 90.00
_cell_angle_beta 90.00
_cell_angle_gamma 90.00
_symmetry_space_group_name_H-M 'P 1'
_symmetry_Int_Tables_number 1
loop_
_symmetry_equiv_pos_as_xyz
'x,y,z'
loop_
_atom_site_label
_atom_site_fract_x
_atom_site_fract_y
_atom_site_fract_z
Y1 0.000 0.000 0.199
Y2 0.000 0.000 0.801
Y3 0.500 0.500 0.301
Y4 0.500 0.500 0.699
Tm1 0.000 0.500 0.000
Tm2 0.500 0.000 0.500
Cd1 0.000 0.288 0.500
Cd2 0.000 0.712 0.500
Cd3 0.500 0.212 0.000
Cd4 0.500 0.788 0.000
```

Computed properties:
Magnetization: 0.0 μB/f.u.
Space group: Immm, No. 71
Density of states at the Fermi level: 12.12 states/eV/cell
Offset from the most stable computed form: 0.42 eV/f.u.

***

[11]
Computed, not measured: a relaxed structure of Er2ScTl3S6 at the PBE level of DFT.

CIF file:
```
data_Er2ScTl3S6
_cell_length_a 6.813
_cell_length_b 6.813
_cell_length_c 7.844
_cell_angle_alpha 98.33
_cell_angle_beta 98.33
_cell_angle_gamma 119.97
_symmetry_space_group_name_H-M 'P 1'
_symmetry_Int_Tables_number 1
loop_
_symmetry_equiv_pos_as_xyz
'x,y,z'
loop_
_atom_site_label
_atom_site_fract_x
_atom_site_fract_y
_atom_site_fract_z
Er1 0.167 0.833 0.000
Er2 0.833 0.167 0.000
Sc1 0.500 0.500 0.000
Tl1 0.000 0.000 0.500
Tl2 0.331 0.669 0.500
Tl3 0.669 0.331 0.500
S1 0.113 0.436 0.807
S2 0.242 0.242 0.195
S3 0.436 0.113 0.807
S4 0.564 0.887 0.193
S5 0.758 0.758 0.805
S6 0.887 0.564 0.193
```

Computed properties:
Magnetization: 0.0 μB/f.u.
Space group: C2/m, No. 12
ΔE_f (raw): -1446 meV/atom

***

[12]
Computed, not measured: a relaxed structure of Ho3NpTl4S8 at the PBE level of DFT.

CIF file:
```
data_Ho3NpTl4S8
_cell_length_a 8.846
_cell_length_b 8.846
_cell_length_c 8.846
_cell_angle_alpha 54.19
_cell_angle_beta 54.19
_cell_angle_gamma 54.19
_symmetry_space_group_name_H-M 'P 1'
_symmetry_Int_Tables_number 1
loop_
_symmetry_equiv_pos_as_xyz
'x,y,z'
loop_
_atom_site_label
_atom_site_fract_x
_atom_site_fract_y
_atom_site_fract_z
Ho1 0.000 0.500 0.500
Ho2 0.500 0.000 0.500
Ho3 0.500 0.500 0.000
Np1 0.000 0.000 0.000
Tl1 0.000 0.000 0.500
Tl2 0.000 0.500 0.000
Tl3 0.500 0.000 0.000
Tl4 0.500 0.500 0.500
S1 0.234 0.234 0.729
S2 0.234 0.729 0.234
S3 0.268 0.268 0.268
S4 0.271 0.766 0.766
S5 0.729 0.234 0.234
S6 0.732 0.732 0.732
S7 0.766 0.271 0.766
S8 0.766 0.766 0.271
```

Computed properties:
Magnetization: 4.0 μB/f.u.
Space group: R-3m, No. 166
ΔE_f (raw): -1362 meV/atom
Density of states at the Fermi level: 5.83 states/eV/cell